First-principles (GGA-PBE) data for a geometry-optimized LiNi4Bi structure, as listed in Alexandria via LeMat-Bulk.

POSCAR file:
```
LiNi4Bi
1.0
-1.493 -2.968 -3.591
-3.453 -3.353 0.875
-4.469 0.534 -1.915
Ni Li Bi
4 1 1
Cartesian
-3.645 -3.888 -1.935
-5.140 -2.130 -1.094
-5.889 -3.620 -2.897
-4.156 -1.937 -3.336
0.000 0.000 0.000
-2.354 -1.447 -1.158
```

Values from the calculation:
Formation energy from the elements: -0.017 eV/atom
D(E_F): 5.069 states/eV/f.u.
Total magnetic moment: 0.0000 μB per atom
Final energy: -4.8365 eV/atom
Volume: 13.80 Å³ per atom